Density functional theory data (PBE with a Hubbard U) for a geometry-optimized Na4Nd3MnO8 structure.

Lattice parameters (Å, degrees): 7.0285 7.0285 6.8150 118.57 118.57 58.28
Fractional positions:
Na  0.0000  0.0000  0.0000
Na  0.0000  0.5000  0.5000
Na  0.5000  0.0000  0.5000
Na  0.5000  0.5000  0.0000
Nd  0.0000  0.0000  0.5000
Nd  0.0000  0.5000  0.0000
Nd  0.5000  0.0000  0.0000
Mn  0.5000  0.5000  0.5000
O  0.2247  0.2247  0.2084
O  0.2304  0.2304  0.7422
O  0.2731  0.6964  0.2813
O  0.3036  0.7269  0.7187
O  0.6964  0.2731  0.2813
O  0.7269  0.3036  0.7187
O  0.7696  0.7696  0.2578
O  0.7753  0.7753  0.7916

Properties
* uncorrected energy: -6.478 eV/atom
* symmetry: C2/m (12)
* density: 4.90 Mg/m³